Here is CaCdHg at its PBEsol-relaxed geometry from Alexandria via LeMat-Bulk. Energies are from SCAN.

Calculated values
Density of states at the Fermi level   0.468 states/eV per atom
DFT total energy   -109.88 eV/f.u.
Formation energy from the elements   -0.545 eV/atom

Unit cell a=4.888 b=4.888 c=3.537 alpha=90.00 beta=90.00 gamma=120.00
Fractional positions:
Ca1 0.000 0.000 0.000
Cd1 0.333 0.667 0.500
Hg1 0.667 0.333 0.500